Li2InAu8: relaxed, PBE.

Structure (extended XYZ):
```
11
Lattice="7.410 -2.057 0.000 7.410 2.057 0.000 -1.960 0.000 6.351" Properties=species:S:1:pos:R:3 pbc="T T T"
Li 3.020 0.000 0.936
Li 9.839 0.000 5.415
In 6.429 0.000 3.175
Au 0.267 0.000 1.409
Au 0.794 0.000 4.463
Au 3.547 0.000 3.743
Au 5.821 0.000 0.275
Au 7.038 0.000 6.076
Au 9.312 0.000 2.608
Au 12.065 0.000 1.888
Au 12.592 0.000 4.942
```

Calculated values
N(E_F)   3.61 states/eV/f.u.
Space-group type   C2/m
Volume   193.6 Å³/f.u.
Total magnetic moment   0.00 Bohr magnetons per cell
Formation enthalpy at 0 K   -2.91 eV/f.u.

---

Li2In3Au4: relaxed, PBE.

Structure (extended XYZ):
```
9
Lattice="4.633 0.000 0.000 1.906 4.252 0.000 1.074 0.742 8.783" Properties=species:S:1:pos:R:3 pbc="T T T"
Li 1.270 0.839 1.868
Li 6.343 4.155 6.915
In 1.750 1.165 5.089
In 3.270 2.126 0.000
In 5.864 3.828 3.694
Au 2.087 1.393 7.904
Au 3.510 2.288 2.848
Au 4.104 2.706 5.935
Au 5.526 3.601 0.879
```

Calculated values
N(E_F)   1.94 states/eV/f.u.
Space-group type   P-1
Volume   173.0 Å³/f.u.
Total magnetic moment   0.00 Bohr magnetons per cell
Energy relative to the lowest polymorph listed for this composition   0 meV/atom
Formation enthalpy at 0 K   -3.06 eV/f.u.

---

Li3InAu6: relaxed, PBE.

Structure (extended XYZ):
```
20
Lattice="4.940 -6.706 0.000 4.940 6.706 0.000 0.000 0.000 5.529" Properties=species:S:1:pos:R:3 pbc="T T T"
Li 4.940 5.360 2.765
Li 2.948 1.101 0.797
Li 2.948 -1.101 3.562
Li 6.931 1.101 0.797
Li 6.931 -1.101 3.562
Li 4.940 -5.360 0.000
In 4.940 2.411 3.074
In 4.940 -2.411 0.309
Au 2.389 3.165 4.560
Au 1.431 0.912 3.010
Au 1.431 -0.912 0.246
Au 4.940 3.092 0.289
Au 2.389 -3.165 1.796
Au 4.940 0.220 4.847
Au 4.940 -0.220 2.083
Au 7.490 3.165 4.560
Au 4.940 -3.092 3.053
Au 8.448 0.912 3.010
Au 8.448 -0.912 0.246
Au 7.490 -3.165 1.796
```

Calculated values
N(E_F)   1.59 states/eV/f.u.
Space-group type   Cmc2_1
Volume   183.2 Å³/f.u.
Total magnetic moment   0.00 Bohr magnetons per cell
Energy relative to the lowest polymorph listed for this composition   65 meV/atom
Formation enthalpy at 0 K   -3.15 eV/f.u.

---

Li4InAu2: relaxed, PBE.

Structure (extended XYZ):
```
7
Lattice="2.270 1.311 6.866 -2.270 1.311 6.866 0.000 -2.622 6.866" Properties=species:S:1:pos:R:3 pbc="T T T"
Li 0.000 0.000 1.832
Li 0.000 0.000 7.466
Li 0.000 0.000 13.130
Li 0.000 0.000 18.765
In 0.000 0.000 10.298
Au 0.000 0.000 4.839
Au 0.000 0.000 15.758
```

Calculated values
N(E_F)   2.38 states/eV/f.u.
Space-group type   R-3m
Volume   122.6 Å³/f.u.
Total magnetic moment   0.00 Bohr magnetons per cell
Energy relative to the lowest polymorph listed for this composition   0 meV/atom
Formation enthalpy at 0 K   -3.11 eV/f.u.

---

Li3InAu4: relaxed, PBE.

Structure (extended XYZ):
```
8
Lattice="-2.796 4.767 2.613 2.796 -4.767 2.613 2.796 4.767 -2.613" Properties=species:S:1:pos:R:3 pbc="T T T"
Li 0.000 0.000 0.000
Li 2.796 2.483 1.242
Li 0.000 2.284 3.855
In 0.000 4.767 2.490
Au 1.413 4.767 -0.125
Au 1.383 0.000 2.489
Au 0.000 2.310 1.238
Au 0.000 7.225 1.238
```

Calculated values
N(E_F)   3.13 states/eV/f.u.
Space-group type   Imm2
Volume   139.3 Å³/f.u.
Total magnetic moment   0.00 Bohr magnetons per cell
Energy relative to the lowest polymorph listed for this composition   138 meV/atom
Formation enthalpy at 0 K   -2.68 eV/f.u.

---

Li5In2Au5: relaxed, PBE.

Structure (extended XYZ):
```
12
Lattice="5.994 -2.034 0.000 5.994 2.034 0.000 -3.852 0.000 8.477" Properties=species:S:1:pos:R:3 pbc="T T T"
Li 0.000 0.000 0.000
Li -1.644 0.000 6.471
Li 0.013 0.000 4.274
Li 8.123 0.000 4.203
Li 9.780 0.000 2.006
In 2.148 0.000 6.350
In 5.988 0.000 2.127
Au 1.953 0.000 2.277
Au 4.038 0.000 0.113
Au 4.068 0.000 4.239
Au 4.098 0.000 8.364
Au 6.183 0.000 6.200
```

Calculated values
N(E_F)   3.20 states/eV/f.u.
Space-group type   C2/m
Volume   206.7 Å³/f.u.
Total magnetic moment   0.00 Bohr magnetons per cell
Energy relative to the lowest polymorph listed for this composition   0 meV/atom
Formation enthalpy at 0 K   -5.42 eV/f.u.

---

Li3In3Au2: relaxed, PBE.

Structure (extended XYZ):
```
8
Lattice="2.354 1.359 7.739 -2.354 1.359 7.739 0.000 -2.718 7.739" Properties=species:S:1:pos:R:3 pbc="T T T"
Li 0.000 0.000 0.000
Li 0.000 0.000 2.832
Li 0.000 0.000 14.528
In 0.000 0.000 5.937
In 0.000 0.000 11.609
In 0.000 0.000 17.289
Au 0.000 0.000 8.731
Au 0.000 0.000 20.343
```

Calculated values
N(E_F)   3.08 states/eV/f.u.
Space-group type   R3m
Volume   148.6 Å³/f.u.
Total magnetic moment   0.00 Bohr magnetons per cell
Formation enthalpy at 0 K   -3.10 eV/f.u.

---

Li2In3Au4: relaxed, PBE.

Structure (extended XYZ):
```
18
Lattice="6.705 -5.049 0.000 6.705 5.049 0.000 -0.293 0.000 5.201" Properties=species:S:1:pos:R:3 pbc="T T T"
Li 2.873 1.419 1.913
Li 2.726 -1.419 4.514
Li 10.391 1.419 0.687
Li 10.244 -1.419 3.288
In 6.485 4.018 3.901
In 4.571 1.075 4.802
In 4.718 -1.075 2.202
In 8.399 1.075 2.999
In 8.546 -1.075 0.399
In 6.632 -4.018 1.300
Au 1.759 1.045 4.488
Au 5.564 1.766 2.295
Au 1.906 -1.045 1.888
Au 7.700 1.766 0.305
Au 5.417 -1.766 4.896
Au 11.211 1.045 3.314
Au 7.553 -1.766 2.906
Au 11.358 -1.045 0.713
```

Calculated values
N(E_F)   2.07 states/eV/f.u.
Space-group type   C2/c
Volume   176.1 Å³/f.u.
Total magnetic moment   0.00 Bohr magnetons per cell
Energy relative to the lowest polymorph listed for this composition   3 meV/atom
Formation enthalpy at 0 K   -3.03 eV/f.u.